# 1
Material: Gd4Lu4B3
Method: DFT, GGA-PBE
State: optimized geometry

a b c (Å): 3.792 4.397 15.774
angles (deg): 93.89 92.37 93.51
Element x y z (fractional)
Gd (0.000, 0.000, 0.000)
Gd (0.021, 0.552, 0.853)
Gd (0.472, 0.984, 0.504)
Gd (0.549, 0.567, 0.349)
Lu (0.036, 0.051, 0.222)
Lu (0.494, 0.055, 0.759)
Lu (0.527, 0.497, 0.094)
Lu (0.985, 0.501, 0.631)
B (0.029, 0.408, 0.466)
B (0.510, 0.273, 0.926)
B (0.993, 0.144, 0.388)

# 2
Material: GdLuB
Method: DFT, GGA-PBE
State: optimized geometry

a b c (Å): 4.581 4.581 4.581
angles (deg): 60.00 60.00 60.00
Element x y z (fractional)
Gd (0.000, 0.000, 0.000)
Lu (0.250, 0.250, 0.250)
B (0.750, 0.750, 0.750)

# 3
Material: GdMgB
Method: DFT, GGA-PBE
State: optimized geometry

Output
* ΔE to the lowest computed polymorph: 0.0 kJ per mole of atoms

a b c (Å): 4.344 4.344 4.344
angles (deg): 60.00 60.00 60.00
Element x y z (fractional)
Gd (0.000, 0.000, 0.000)
Mg (0.500, 0.500, 0.500)
B (0.250, 0.250, 0.250)

# 4
Material: GdMgB
Method: DFT, GGA-PBE
State: optimized geometry

Output
* ΔE to the lowest computed polymorph: 80.2 kJ per mole of atoms

a b c (Å): 4.355 4.355 4.355
angles (deg): 60.00 60.00 60.00
Element x y z (fractional)
Gd (0.000, 0.000, 0.000)
Mg (0.750, 0.750, 0.750)
B (0.500, 0.500, 0.500)

# 5
Material: GdMgB
Method: DFT, GGA-PBE
State: optimized geometry

Output
* ΔE to the lowest computed polymorph: 98.2 kJ per mole of atoms

a b c (Å): 4.525 4.525 4.525
angles (deg): 60.00 60.00 60.00
Element x y z (fractional)
Gd (0.000, 0.000, 0.000)
Mg (0.250, 0.250, 0.250)
B (0.750, 0.750, 0.750)

# 6
Material: GdB4Mo
Method: DFT, GGA-PBE
State: optimized geometry

Output
* ΔE to the lowest computed polymorph: 0.0 kJ per mole of atoms

a b c (Å): 6.046 11.691 3.640
angles (deg): 90.00 90.00 90.00
Element x y z (fractional)
Gd (0.127, 0.150, 0.000)
Gd (0.373, 0.650, 0.000)
Gd (0.627, 0.350, 0.000)
Gd (0.873, 0.850, 0.000)
B (0.024, 0.693, 0.500)
B (0.114, 0.547, 0.500)
B (0.134, 0.968, 0.500)
B (0.214, 0.814, 0.500)
B (0.286, 0.314, 0.500)
B (0.366, 0.468, 0.500)
B (0.386, 0.047, 0.500)
B (0.476, 0.193, 0.500)
B (0.524, 0.807, 0.500)
B (0.614, 0.953, 0.500)
B (0.634, 0.532, 0.500)
B (0.714, 0.686, 0.500)
B (0.786, 0.186, 0.500)
B (0.866, 0.032, 0.500)
B (0.886, 0.453, 0.500)
B (0.976, 0.307, 0.500)
Mo (0.129, 0.417, 0.000)
Mo (0.371, 0.917, 0.000)
Mo (0.629, 0.083, 0.000)
Mo (0.871, 0.583, 0.000)

# 7
Material: GdB4Mo
Method: DFT, GGA-PBE
State: optimized geometry

Output
* ΔE to the lowest computed polymorph: 19.3 kJ per mole of atoms

a b c (Å): 4.769 4.769 4.769
angles (deg): 141.14 110.21 82.86
Element x y z (fractional)
Gd (0.000, 0.000, 0.000)
B (0.091, 0.753, 0.338)
B (0.416, 0.753, 0.662)
B (0.584, 0.247, 0.338)
B (0.909, 0.247, 0.662)
Mo (0.500, 0.500, 0.000)

# 8
Material: GdB4Mo
Method: DFT, GGA-PBE
State: optimized geometry

Output
* ΔE to the lowest computed polymorph: 11.5 kJ per mole of atoms

a b c (Å): 3.136 3.136 7.226
angles (deg): 90.00 90.00 120.00
Element x y z (fractional)
Gd (0.000, 0.000, 0.000)
B (0.333, 0.667, 0.277)
B (0.333, 0.667, 0.723)
B (0.667, 0.333, 0.277)
B (0.667, 0.333, 0.723)
Mo (0.000, 0.000, 0.500)

# 9
Material: GdBMo
Method: DFT, GGA-PBE
State: optimized geometry

a b c (Å): 4.180 4.180 4.180
angles (deg): 60.00 60.00 60.00
Element x y z (fractional)
Gd (0.000, 0.000, 0.000)
B (0.250, 0.250, 0.250)
Mo (0.500, 0.500, 0.500)

Number 1: total moment 0.01 μB/f.u., calculated total energy -55.67 eV per cell. Number 2: total moment 0.01 μB/f.u., calculated total energy -12.13 eV per cell. Number 3: total moment 0.00 μB/f.u., calculated total energy -12.99 eV per cell. Number 4: total moment 0.00 μB/f.u., calculated total energy -10.50 eV per cell. Number 5: total moment 0.00 μB/f.u., calculated total energy -9.94 eV per cell. Number 6: total moment 0.00 μB/f.u., calculated total energy -183.51 eV per cell. Number 7: total moment 0.00 μB/f.u., calculated total energy -44.68 eV per cell. Number 8: total moment 0.00 μB/f.u., calculated total energy -45.16 eV per cell. Number 9: total moment 0.67 μB/f.u., calculated total energy -20.91 eV per cell.